(1)
Crystalline LiTlRh2 at its relaxed geometry, computed with PBE.

- formation energy from the elements (eV per atom) = -0.02
- size of the total moment (μB per cell) = 0.000

a b c (Å): 4.731 4.731 4.885
angles (deg): 78.79 78.79 36.29
Fractional coordinates of all 4 atoms:
Tl: 0.750 0.750 0.750
Li: 0.250 0.250 0.250
Rh: 0.996 0.996 0.022
Rh: 0.504 0.504 0.478


(2)
Crystalline NaPuO3 at its relaxed geometry, computed with PBE.

- size of the total moment (μB per cell) = 3.000
- formation energy (no corrections) (eV/atom) = -2.487

a b c (Å): 4.237 4.237 4.237
angles (deg): 90.00 90.00 90.00
Site moments in Bohr magnetons follow the coordinates.
Fractional coordinates of all 5 atoms:
Pu: 0.000 0.000 0.000  3.35
O: 0.000 0.500 0.000  -0.13
O: 0.500 0.000 0.000  -0.13
Na: 0.500 0.500 0.500  0.00
O: 0.000 0.000 0.500  -0.13


no.,calculated total energy (eV per atom)
1,-4.769
2,-8.592